{"formula": "ZnTe3Br", "functional": "PBE", "state": "relaxed", "dft_energy_ev_per_atom": -2.0944, "e_form_raw_kj_per_mol_atoms": 36.7, "polymorph_energy_mev_per_atom": 0, "dos_at_fermi_per_ev_atom": 0.7343, "lattice": [[5.3302, 0.0000, 0.0000], [0.0000, 5.3302, 0.0000], [0.0000, 0.0000, 5.3302]], "species": ["Zn", "Te", "Te", "Te", "Br"], "frac_coords": [[0.0000, 0.0000, 0.0000], [0.0000, 0.0000, 0.5000], [0.0000, 0.5000, 0.0000], [0.5000, 0.0000, 0.0000], [0.5000, 0.5000, 0.5000]]}